A geometry-optimized KCaV structure, computed with PBE-GGA.

E ... -3.4588 eV per atom
Magnetic moment ... 0.00 μB per cell
Volume ... 239 Å³/cell

Unit cell a=4.145 b=10.452 c=6.008 alpha=75.23 beta=106.40 gamma=86.97
Fractional coordinates of all 6 atoms:
Ca 0.089 0.353 0.806
Ca 0.760 0.544 0.169
K 0.310 0.791 0.509
K 0.650 0.020 0.900
V 0.801 0.234 0.325
V 0.416 0.298 0.379